The following is a DFT calculation (PBE-GGA) of crystalline K2SiTc at its relaxed geometry.

Unit cell a=4.590 b=4.590 c=5.262 alpha=90.00 beta=90.00 gamma=90.00
Fractional positions:
1 K 0.000 0.000 0.250
2 K 0.000 0.000 0.750
3 Si 0.500 0.500 0.000
4 Tc 0.500 0.500 0.500

Summary:
As for the uncorrected formation energy: 1.14 eV/atom. As for the space group: No. 123.

=====

The following is a DFT calculation (PBE-GGA) of crystalline Sb2IrRh at its relaxed geometry.

Unit cell a=5.512 b=5.512 c=5.512 alpha=138.02 beta=138.02 gamma=60.87
Fractional positions:
1 Sb 0.000 0.000 0.000
2 Sb 0.750 0.250 0.500
3 Ir 0.250 0.750 0.500
4 Rh 0.500 0.500 0.000

Summary:
As for the uncorrected formation energy: 0.12 eV/atom. As for the space group: No. 119.

=====

The following is a DFT calculation (PBE-GGA) of crystalline LaPmCdI at its relaxed geometry.

Unit cell a=5.560 b=5.560 c=5.560 alpha=60.00 beta=60.00 gamma=60.00
Fractional positions:
1 La 0.000 0.000 0.000
2 Pm 0.500 0.500 0.500
3 Cd 0.250 0.250 0.250
4 I 0.750 0.750 0.750

Summary:
As for the uncorrected formation energy: -0.45 eV/atom. As for the space group: No. 216.

=====

The following is a DFT calculation (PBE-GGA) of crystalline TbNdHo2Er4 at its relaxed geometry.

Unit cell a=9.459 b=9.459 c=9.459 alpha=138.11 beta=103.53 gamma=91.24
Fractional positions:
1 Tb 0.500 0.000 0.000
2 Tb 0.500 0.500 0.500
3 Nd 0.000 0.000 0.000
4 Nd 0.500 0.000 0.500
5 Ho 0.000 0.000 0.500
6 Ho 0.000 0.500 0.000
7 Ho 0.000 0.500 0.500
8 Ho 0.500 0.500 0.000
9 Er 0.247 0.748 0.499
10 Er 0.249 0.251 0.502
11 Er 0.249 0.747 0.998
12 Er 0.251 0.252 0.999
13 Er 0.749 0.748 0.001
14 Er 0.751 0.253 0.002
15 Er 0.751 0.749 0.498
16 Er 0.753 0.252 0.501

Summary:
As for the energy relative to the elements: 0.44 eV per atom. As for the space group: No. 74.

=====

The following is a DFT calculation (PBE-GGA) of crystalline KGaI2 at its relaxed geometry.

Unit cell a=4.900 b=4.903 c=7.008 alpha=89.77 beta=89.76 gamma=89.72
Fractional positions:
1 K 0.000 0.000 0.000
2 Ga 0.511 0.512 0.512
3 I 0.500 0.500 0.961
4 I 0.979 0.977 0.499

Summary:
As for the uncorrected formation energy: -0.90 eV/atom. As for the space group: No. 1.

=====

The following is a DFT calculation (PBE-GGA) of crystalline EuYAlHg at its relaxed geometry.

Unit cell a=5.325 b=5.325 c=5.325 alpha=60.00 beta=60.00 gamma=60.00
Fractional positions:
1 Eu 0.000 0.000 0.000
2 Y 0.500 0.500 0.500
3 Al 0.250 0.250 0.250
4 Hg 0.750 0.750 0.750

Summary:
As for the energy relative to the elements: -0.37 eV per atom. As for the space group: No. 216.

=====

| no. | spin magnetization (μB/f.u.) | E_tot (eV/atom) |
| --- | --- | --- |
| 1 | 2.2 | -3.36 |
| 2 | 0.0 | -5.99 |
| 3 | 0.0 | -3.48 |
| 4 | 3.2 | -4.16 |
| 5 | 0.0 | -2.70 |
| 6 | 7.2 | -5.57 |